## KSr5In4 (PBE-GGA)

Data for crystalline KSr5In4 at its relaxed geometry.

Geometry as POSCAR:
```
KSr5In4
1.0
4.1208 0.0000 0.0000
0.0000 4.1208 0.0000
0.0000 0.0000 23.1050
K Sr In
1 5 4
Direct
0.0000 0.0000 0.0000
0.5000 0.5000 0.1562
0.5000 0.5000 0.3260
0.5000 0.5000 0.5000
0.5000 0.5000 0.6740
0.5000 0.5000 0.8438
0.0000 0.0000 0.2375
0.0000 0.0000 0.4130
0.0000 0.0000 0.5870
0.0000 0.0000 0.7625
```

Values from the calculation:
As for the density of states at the Fermi level: 8.715 states/eV/f.u. The formation energy from the elements comes out at -0.3287 eV per atom.